Mn7Si | meta-GGA SCAN | PBEsol geometry

Calculated values
N(E_F)   28.94 states/eV/cell
E_form (uncorrected)   -0.16 eV/atom

```
data_Mn7Si
_chemical_formula_sum 'Mn28 Si4'
_cell_length_a 7.010
_cell_length_b 7.010
_cell_length_c 7.010
_cell_angle_alpha 90.00
_cell_angle_beta 90.00
_cell_angle_gamma 90.00
_space_group_name_H-M_alt 'F m -3 m'
_space_group_IT_number 225
_space_group_name_Hall '-F 4 2 3'
loop_
_atom_site_label
_atom_site_type_symbol
_atom_site_fract_x
_atom_site_fract_y
_atom_site_fract_z
Mn1 Mn 0.000 0.000 0.000
Mn2 Mn 0.000 0.250 0.250
Si1 Si 0.000 0.000 0.500
```